Record 1
A plane-wave DFT calculation with meta-GGA SCAN was carried out for a PBEsol-optimized structure of Au2C3. Values from VASP.

space group = R-3m
ΔE_f = 6.87 eV per formula unit

```
&SYSTEM
  ibrav = 0, nat = 5, ntyp = 2
/
ATOMIC_SPECIES
C 12.01 C.upf
Au 196.97 Au.upf
CELL_PARAMETERS angstrom
2.624 0.000 0.000
1.312 2.273 0.000
1.312 0.758 11.368
ATOMIC_POSITIONS crystal
C 0.000 0.000 0.000
C 0.167 0.167 0.500
C 0.833 0.833 0.500
Au 0.610 0.610 0.170
Au 0.390 0.390 0.830
```

---

Record 2
A plane-wave DFT calculation with meta-GGA SCAN was carried out for a PBEsol-optimized structure of AuC5. Values from VASP.

space group = P6/mmm
ΔE_f = 19.89 eV per formula unit

```
&SYSTEM
  ibrav = 0, nat = 6, ntyp = 2
/
ATOMIC_SPECIES
C 12.01 C.upf
Au 196.97 Au.upf
CELL_PARAMETERS angstrom
2.458 0.000 0.000
0.000 4.759 0.000
0.000 -2.380 4.122
ATOMIC_POSITIONS crystal
C 0.000 0.667 0.333
C 0.000 0.333 0.667
C 0.500 0.500 0.500
C 0.500 0.000 0.500
C 0.500 0.500 0.000
Au 0.000 0.000 0.000
```

---

Record 3
A plane-wave DFT calculation with meta-GGA SCAN was carried out for a PBEsol-optimized structure of Au2C. Values from VASP.

ΔE to the lowest computed polymorph = 325.0 meV per atom
space group = Imma
ΔE_f = 4.80 eV per formula unit

```
&SYSTEM
  ibrav = 0, nat = 6, ntyp = 2
/
ATOMIC_SPECIES
Au 196.97 Au.upf
C 12.01 C.upf
CELL_PARAMETERS angstrom
-0.881 -1.462 2.359
1.613 -2.339 -0.847
7.777 5.587 4.567
ATOMIC_POSITIONS crystal
Au 0.688 0.938 0.377
Au 0.312 0.062 0.623
Au 0.555 0.805 0.110
Au 0.445 0.195 0.890
C 0.152 0.402 0.305
C 0.848 0.598 0.695
```